An optimized crystal structure of RbCoF5. Source: the Alexandria database, functional PBE+U.

Unit cell a=5.790 b=5.790 c=8.203 alpha=93.97 beta=110.97 gamma=113.25
Atoms (fractional coordinates):
Rb 0.755 0.505 0.250
Rb 0.245 0.495 0.750
Co 0.000 0.000 0.000
Co 0.500 0.000 0.500
F 0.707 0.905 0.054
F 0.254 0.979 0.585
F 0.649 0.348 0.554
F 0.229 0.979 0.250
F 0.895 0.669 0.915
F 0.105 0.331 0.085
F 0.771 0.021 0.750
F 0.351 0.652 0.446
F 0.746 0.021 0.415
F 0.293 0.095 0.946

## Properties
- DFT total energy (eV per atom) = -4.197